TbNdIr2 | Alexandria | PBE-GGA | relaxed; space group = P4/mmm, No. 123; energy of formation from the pure elements = -0.65 eV per atom; energy above the most stable polymorph in this dataset = 0.0309 eV per atom
1.0
-2.098 -2.660 -1.331
0.806 -2.631 3.987
-3.875 2.004 2.106
Ir Nd Tb
2 1 1
Direct
0.000 0.500 0.000
0.000 0.000 0.500
0.500 0.000 0.000
0.500 0.500 0.500